1.
# PBE SmPaN2F, optimized geometry
data_SmPaN2F
_space_group_name_H-M_alt 'P 4/n m m'
_space_group_IT_number 129
_cell_length_a 3.5108
_cell_length_b 3.5108
_cell_length_c 11.5796
_cell_angle_alpha 90.00
_cell_angle_beta 90.00
_cell_angle_gamma 90.00
loop_
_space_group_symop_operation_xyz
'x,y,z'
'-x,-y,-z'
'-y+1/2,x,z'
'y+1/2,-x,-z'
'-x+1/2,-y+1/2,z'
'x+1/2,y+1/2,-z'
'y,-x+1/2,z'
'-y,x+1/2,-z'
'x+1/2,-y,-z'
'-x+1/2,y,z'
'-y,-x,-z'
'y,x,z'
'-x,y+1/2,-z'
'x,-y+1/2,z'
'y+1/2,x+1/2,-z'
'-y+1/2,-x+1/2,z'
loop_
_atom_site_label
_atom_site_fract_x
_atom_site_fract_y
_atom_site_fract_z
Sm1 0.2500 0.2500 0.1453
Pa1 0.2500 0.2500 0.6120
N1 0.2500 0.2500 0.3860
N2 0.2500 0.2500 0.7917
F1 0.2500 0.7500 0.0000
# total moment = 0.000 μB per atom
# energy relative to the elements, uncorrected = -216.2 kJ/mol of atoms
# DOS at the Fermi energy = 1.857 states/eV/cell

2.
# PBE TbPaN2F, optimized geometry
data_TbPaN2F
_space_group_name_H-M_alt 'P 4/n m m'
_space_group_IT_number 129
_cell_length_a 3.4768
_cell_length_b 3.4768
_cell_length_c 11.4508
_cell_angle_alpha 90.00
_cell_angle_beta 90.00
_cell_angle_gamma 90.00
loop_
_space_group_symop_operation_xyz
'x,y,z'
'-x,-y,-z'
'-y+1/2,x,z'
'y+1/2,-x,-z'
'-x+1/2,-y+1/2,z'
'x+1/2,y+1/2,-z'
'y,-x+1/2,z'
'-y,x+1/2,-z'
'x+1/2,-y,-z'
'-x+1/2,y,z'
'-y,-x,-z'
'y,x,z'
'-x,y+1/2,-z'
'x,-y+1/2,z'
'y+1/2,x+1/2,-z'
'-y+1/2,-x+1/2,z'
loop_
_atom_site_label
_atom_site_fract_x
_atom_site_fract_y
_atom_site_fract_z
Tb1 0.2500 0.2500 0.1431
Pa1 0.2500 0.2500 0.6141
N1 0.2500 0.2500 0.3830
N2 0.2500 0.2500 0.7960
F1 0.2500 0.7500 0.0000
# total moment = 0.000 μB per atom
# energy relative to the elements, uncorrected = -218.7 kJ/mol of atoms
# DOS at the Fermi energy = 1.866 states/eV/cell

3.
# PBE PbN3F, optimized geometry
data_PbN3F
_space_group_name_H-M_alt 'P m -3 m'
_space_group_IT_number 221
_space_group_name_Hall '-P 4 2 3'
_cell_length_a 3.9535
_cell_length_b 3.9535
_cell_length_c 3.9535
_cell_angle_alpha 90.00
_cell_angle_beta 90.00
_cell_angle_gamma 90.00
loop_
_atom_site_label
_atom_site_fract_x
_atom_site_fract_y
_atom_site_fract_z
Pb1 0.0000 0.0000 0.0000
N1 0.0000 0.5000 0.5000
F1 0.5000 0.5000 0.5000
# total moment = 0.894 μB per atom
# energy relative to the elements, uncorrected = 236.5 kJ/mol of atoms
# DOS at the Fermi energy = 2.403 states/eV/cell

4.
# PBE PbNF2, optimized geometry
data_PbNF2
_space_group_name_H-M_alt 'R -3 m'
_space_group_IT_number 166
_space_group_name_Hall '-R 3 2"'
_cell_length_a 3.8475
_cell_length_b 3.8475
_cell_length_c 22.6005
_cell_angle_alpha 90.00
_cell_angle_beta 90.00
_cell_angle_gamma 120.00
loop_
_atom_site_label
_atom_site_fract_x
_atom_site_fract_y
_atom_site_fract_z
Pb1 0.0000 0.0000 0.0000
N1 0.0000 0.0000 0.5000
F1 0.0000 0.0000 0.3802
# total moment = 0.750 μB per atom
# energy relative to the elements, uncorrected = -35.9 kJ/mol of atoms
# DOS at the Fermi energy = 0.000 states/eV/cell
# energy above the lowest structure with this stoichiometry = 66.6 meV per atom